PBE with a Hubbard U ZnWF3, relaxed; total magnetic moment = 4.96 μB per cell; crystal system = cubic; E above lowest polymorph = 665 meV per atom
1.0
-3.647 -1.875 -0.537
1.491 -3.414 1.796
-1.258 1.390 3.687
Zn W F
1 1 3
Cartesian
0.000 0.000 0.000
-1.707 -1.950 2.473
0.745 -1.707 0.898
-0.629 0.695 1.843
-1.823 -0.938 -0.269